A relaxed structure of SmTaBe17, computed with GGA-PBE.

Density: 4.4 Mg/m³
Formation energy from the elements: -0.129 eV per atom
Space-group type: No. 160
E_tot: -82.37 eV/cell

a = 5.710 Å, b = 5.710 Å, c = 5.710 Å
α = 82.86°, β = 82.86°, γ = 82.86°
Element x y z (fractional)
Sm 0.000 0.000 0.000
Ta 0.673 0.673 0.673
Be 0.051 0.342 0.621
Be 0.051 0.621 0.342
Be 0.182 0.677 0.677
Be 0.247 0.247 0.247
Be 0.342 0.051 0.621
Be 0.342 0.621 0.051
Be 0.344 0.344 0.835
Be 0.344 0.835 0.344
Be 0.438 0.438 0.438
Be 0.500 0.992 0.992
Be 0.621 0.051 0.342
Be 0.621 0.342 0.051
Be 0.677 0.182 0.677
Be 0.677 0.677 0.182
Be 0.835 0.344 0.344
Be 0.992 0.500 0.992
Be 0.992 0.992 0.500